#P
{"formula": "Na2Zn2F7", "functional": "PBE", "state": "optimized geometry", "total_magnetization_mub_per_cell": 1.1, "lattice_angstrom": [[5.0561, -0.0024, -0.1050], [0.0024, 5.5056, 0.0025], [-0.4198, -0.0018, 5.0397]], "species": ["F", "F", "F", "F", "F", "F", "F", "Na", "Na", "Zn", "Zn"], "fractional_positions": [[0.0000, 0.0000, 0.0000], [0.5001, 0.7755, 0.4999], [0.5000, 0.7635, 0.9999], [0.4999, 0.2245, 0.5001], [0.9999, 0.2365, 0.5000], [0.0001, 0.7635, 0.5000], [0.5000, 0.2365, 0.0001], [0.2545, 0.5000, 0.2545], [0.7455, 0.5000, 0.7455], [0.7292, 0.0000, 0.2708], [0.2708, 0.0000, 0.7292]]}

#Q
{"formula": "Na2Zn2F7", "functional": "PBE", "state": "optimized geometry", "total_magnetization_mub_per_cell": 1.0, "lattice_angstrom": [[1.2932, -5.8878, 0.6300], [2.0453, -0.5372, -4.8940], [5.2119, -1.1708, 2.8635]], "species": ["Na", "Na", "Zn", "Zn", "F", "F", "F", "F", "F", "F", "F"], "fractional_positions": [[0.6922, 0.5000, 0.6922], [0.3078, 0.5000, 0.3078], [0.7372, 0.8724, 0.2628], [0.2628, 0.1276, 0.7372], [0.5590, 0.2208, 0.4410], [0.4410, 0.7792, 0.5590], [0.9419, 0.7179, 0.3912], [0.3912, 0.2821, 0.9419], [0.0581, 0.2821, 0.6088], [0.6088, 0.7179, 0.0581], [0.0000, 0.0000, 0.0000]]}

Order of stability, best first: #Q, #P

#P
{"formula": "NaZr3F", "functional": "PBE", "state": "optimized geometry", "total_magnetization_mub_per_cell": 0.0, "lattice_angstrom": [[5.0716, 0.0000, 0.0000], [0.0000, 5.0716, 0.0000], [0.0000, 0.0000, 5.0716]], "species": ["Zr", "Zr", "Zr", "Na", "F"], "fractional_positions": [[0.0000, 0.0000, 0.5000], [0.0000, 0.5000, 0.0000], [0.5000, 0.0000, 0.0000], [0.0000, 0.0000, 0.0000], [0.5000, 0.5000, 0.5000]]}

#Q
{"formula": "NaZr3F", "functional": "PBE", "state": "optimized geometry", "total_magnetization_mub_per_cell": 0.0, "lattice_angstrom": [[-1.1669, -2.0602, 4.0238], [4.4721, 0.0807, 1.3382], [-0.6601, 4.1888, 1.9532]], "species": ["Na", "Zr", "Zr", "Zr", "F"], "fractional_positions": [[0.5000, 0.5000, 0.5000], [0.5000, 0.0000, 0.0000], [0.0000, 0.0000, 0.5000], [0.0000, 0.5000, 0.0000], [0.0000, 0.0000, 0.0000]]}

Order of stability, best first: #Q, #P

#P
{"formula": "Na2ZrF", "functional": "PBE", "state": "optimized geometry", "total_magnetization_mub_per_cell": 3.1, "lattice_angstrom": [[-3.6244, 1.0822, 3.7146], [-3.3798, 4.0262, -0.6875], [-5.1268, -0.9731, -0.9356]], "species": ["Na", "Na", "Zr", "F"], "fractional_positions": [[0.7500, 0.7500, 0.7500], [0.2500, 0.2500, 0.2500], [0.5000, 0.5000, 0.5000], [0.0000, 0.0000, 0.0000]]}

#Q
{"formula": "Na2ZrF", "functional": "PBE", "state": "optimized geometry", "total_magnetization_mub_per_cell": 6.3, "lattice_angstrom": [[-3.8846, -5.2621, 1.6192], [1.1271, -2.6998, -6.0698], [2.2633, -6.1629, -0.5785]], "species": ["Zr", "Zr", "F", "F", "Na", "Na", "Na", "Na"], "fractional_positions": [[0.0000, 0.0000, 0.0000], [0.7500, 0.2500, 0.5000], [0.2500, 0.7500, 0.5000], [0.5000, 0.5000, 0.0000], [0.4510, 0.6250, 0.2500], [0.3750, 0.7010, 0.7500], [0.2990, 0.1250, 0.2500], [0.8750, 0.5490, 0.7500]]}

Order of stability, best first: #Q, #P